The following is a DFT calculation (PBE) of an optimized crystal structure of Pr5TlZn2.

```
16
Lattice="-3.908 3.908 7.882 3.908 -3.908 7.882 3.908 3.908 -7.882" Properties=species:S:1:pos:R:3 pbc="T T T"
Pr 0.000 0.000 0.000
Pr 5.200 1.292 -2.327
Pr 1.292 2.617 -2.327
Pr 5.200 1.292 2.327
Pr 1.292 2.617 2.327
Pr 0.000 0.000 7.882
Pr 2.617 1.292 5.555
Pr -1.292 2.617 5.555
Pr 2.617 1.292 10.209
Pr -1.292 2.617 10.209
Tl 0.000 0.000 3.941
Tl 0.000 0.000 11.823
Zn 2.973 0.935 0.000
Zn 2.973 -0.935 7.882
Zn 0.935 4.844 0.000
Zn 0.935 2.973 7.882
```

The following is a DFT calculation (PBE) of an optimized crystal structure of Pr3TlZn.

```
15
Lattice="7.637 0.000 0.000 0.000 7.637 0.000 0.000 0.000 7.637" Properties=species:S:1:pos:R:3 pbc="T T T"
Pr 0.000 0.000 0.000
Pr 2.031 2.031 2.031
Pr 2.031 2.031 5.606
Pr 2.031 5.606 2.031
Pr 2.031 5.606 5.606
Pr 5.606 2.031 2.031
Pr 5.606 2.031 5.606
Pr 5.606 5.606 2.031
Pr 5.606 5.606 5.606
Tl 0.000 0.000 3.818
Tl 0.000 3.818 0.000
Tl 3.818 0.000 0.000
Zn 0.000 3.818 3.818
Zn 3.818 0.000 3.818
Zn 3.818 3.818 0.000
```

Its relative energy among the computed polymorphs is 0.011 eV/atom.

The following is a DFT calculation (PBE) of an optimized crystal structure of Pr3Tl2Zn.

```
12
Lattice="8.118 -3.314 0.000 8.118 3.314 0.000 -1.630 0.000 6.444" Properties=species:S:1:pos:R:3 pbc="T T T"
Pr 6.896 2.337 4.833
Pr 4.776 0.712 2.633
Pr 3.961 -0.712 5.855
Pr 10.645 0.712 0.589
Pr 9.831 -0.712 3.811
Pr 7.711 -2.337 1.611
Tl 2.561 0.766 0.261
Tl 1.746 -0.766 3.483
Tl 12.860 0.766 2.961
Tl 12.045 -0.766 6.183
Zn 7.711 0.904 1.611
Zn 6.896 -0.904 4.833
```

Its relative energy among the computed polymorphs is 0.086 eV/atom.

The following is a DFT calculation (PBE) of an optimized crystal structure of Pr4Tl3Zn.

```
8
Lattice="3.784 0.000 0.000 0.000 3.784 0.000 0.000 0.000 16.319" Properties=species:S:1:pos:R:3 pbc="T T T"
Pr 0.000 0.000 1.778
Pr 0.000 0.000 6.027
Pr 0.000 0.000 10.291
Pr 0.000 0.000 14.541
Tl 1.892 1.892 3.882
Tl 1.892 1.892 8.159
Tl 1.892 1.892 12.437
Zn 1.892 1.892 0.000
```

Its relative energy among the computed polymorphs is 0.000 eV/atom.

The following is a DFT calculation (PBE) of an optimized crystal structure of Pr2TlZn5.

```
16
Lattice="2.259 -8.379 0.000 2.259 8.379 0.000 0.000 0.000 9.150" Properties=species:S:1:pos:R:3 pbc="T T T"
Pr 0.000 0.000 0.000
Pr 0.000 0.000 4.575
Pr 2.259 4.917 6.862
Pr 2.259 -4.917 2.287
Tl 2.259 0.927 2.287
Tl 2.259 -0.927 6.862
Zn 2.259 5.283 0.996
Zn 2.259 5.283 3.579
Zn 2.259 2.621 0.137
Zn 2.259 2.621 4.438
Zn 2.259 1.764 6.862
Zn 2.259 -1.764 2.287
Zn 2.259 -2.621 4.712
Zn 2.259 -2.621 9.013
Zn 2.259 -5.283 5.571
Zn 2.259 -5.283 8.154
```

The following is a DFT calculation (PBE) of an optimized crystal structure of Pr5Tl2Zn.

```
16
Lattice="6.955 0.000 0.000 0.000 13.434 0.000 0.000 0.000 5.260" Properties=species:S:1:pos:R:3 pbc="T T T"
Pr 0.000 0.000 0.000
Pr 0.806 3.753 0.000
Pr 1.177 7.987 2.630
Pr 2.300 1.270 2.630
Pr 2.671 10.470 0.000
Pr 3.477 6.717 0.000
Pr 4.284 2.964 0.000
Pr 4.655 12.164 2.630
Pr 5.777 5.447 2.630
Pr 6.148 9.681 0.000
Tl 0.939 11.430 2.630
Tl 2.538 4.713 2.630
Tl 4.417 8.721 2.630
Tl 6.015 2.004 2.630
Zn 0.000 6.717 0.000
Zn 3.477 0.000 0.000
```

Its relative energy among the computed polymorphs is 0.000 eV/atom.

The following is a DFT calculation (PBE) of an optimized crystal structure of PrTlZn2.

```
4
Lattice="0.000 3.574 3.574 3.574 0.000 3.574 3.574 3.574 0.000" Properties=species:S:1:pos:R:3 pbc="T T T"
Pr 0.000 0.000 0.000
Tl 3.574 3.574 3.574
Zn 1.787 1.787 1.787
Zn 5.361 5.361 5.361
```

Its relative energy among the computed polymorphs is 0.005 eV/atom.

The following is a DFT calculation (PBE) of an optimized crystal structure of PrZrTlZn.

```
4
Lattice="0.000 3.660 3.660 3.660 0.000 3.660 3.660 3.660 0.000" Properties=species:S:1:pos:R:3 pbc="T T T"
Pr 0.000 0.000 0.000
Zr 3.660 3.660 3.660
Tl 5.491 5.491 5.491
Zn 1.830 1.830 1.830
```

The following is a DFT calculation (PBE) of an optimized crystal structure of PrZrTl2.

```
4
Lattice="3.423 0.000 0.000 0.000 3.423 0.000 0.000 0.000 8.912" Properties=species:S:1:pos:R:3 pbc="T T T"
Pr 0.000 0.000 0.000
Zr 0.000 0.000 4.456
Tl 1.711 1.711 2.392
Tl 1.711 1.711 6.520
```

The following is a DFT calculation (PBE) of an optimized crystal structure of PrZrTl2.

```
4
Lattice="4.891 0.000 0.000 0.000 4.891 0.000 0.000 0.000 4.434" Properties=species:S:1:pos:R:3 pbc="T T T"
Pr 0.000 0.000 0.000
Zr 2.445 2.445 0.000
Tl 0.000 2.445 2.217
Tl 2.445 0.000 2.217
```

The following is a DFT calculation (PBE) of an optimized crystal structure of PrZrTl2.

```
4
Lattice="1.726 0.996 10.541 -1.726 0.996 10.541 0.000 -1.993 10.541" Properties=species:S:1:pos:R:3 pbc="T T T"
Pr 0.000 0.000 0.000
Zr 0.000 0.000 15.812
Tl 0.000 0.000 7.744
Tl 0.000 0.000 23.881
```

The following is a DFT calculation (PBE) of an optimized crystal structure of Pr3Tm7.

```
20
Lattice="10.725 0.000 0.000 -5.363 9.289 0.000 0.000 0.000 6.457" Properties=species:S:1:pos:R:3 pbc="T T T"
Pr 0.000 3.753 0.000
Pr -2.113 7.412 0.000
Pr 3.250 1.877 3.228
Pr 2.113 7.412 0.000
Pr 7.475 1.877 3.228
Pr 5.363 5.536 3.228
Tm -2.219 4.911 2.209
Tm 0.000 2.256 3.343
Tm -3.409 8.161 3.343
Tm 1.954 1.128 0.114
Tm 0.000 6.192 4.222
Tm 2.219 4.911 2.209
Tm 0.000 8.754 2.209
Tm 5.363 0.534 5.438
Tm 3.144 4.377 5.438
Tm 5.363 3.096 0.994
Tm 3.409 8.161 3.343
Tm 8.772 1.128 0.114
Tm 5.363 7.033 0.114
Tm 7.581 4.377 5.438
```

Its relative energy among the computed polymorphs is 0.153 eV/atom.

The following is a DFT calculation (PBE) of an optimized crystal structure of Pr2Tm5.

```
14
Lattice="7.858 -3.132 0.000 7.858 3.132 0.000 -0.959 0.000 9.146" Properties=species:S:1:pos:R:3 pbc="T T T"
Pr 5.848 2.075 8.161
Pr 8.429 2.075 5.558
Pr 6.328 -2.075 3.588
Pr 8.908 -2.075 0.985
Tm 2.579 1.050 7.510
Tm 5.050 1.026 4.887
Tm 7.618 1.032 2.287
Tm 3.058 -1.050 2.937
Tm 9.227 1.026 8.832
Tm 5.529 -1.026 0.314
Tm 11.698 1.050 6.209
Tm 7.139 -1.032 6.860
Tm 9.707 -1.026 4.259
Tm 12.178 -1.050 1.636
```

Its relative energy among the computed polymorphs is 0.000 eV/atom.

The following is a DFT calculation (PBE) of an optimized crystal structure of PrTm4.

```
5
Lattice="1.775 1.025 14.236 -1.775 1.025 14.236 0.000 -2.049 14.236" Properties=species:S:1:pos:R:3 pbc="T T T"
Pr 0.000 0.000 0.000
Tm 0.000 0.000 5.699
Tm 0.000 0.000 17.144
Tm 0.000 0.000 25.565
Tm 0.000 0.000 37.009
```

Its relative energy among the computed polymorphs is 0.000 eV/atom.

The following is a DFT calculation (PBE) of an optimized crystal structure of PrTm6.

```
7
Lattice="-4.048 4.048 4.048 4.048 -4.048 4.048 4.048 4.048 -4.048" Properties=species:S:1:pos:R:3 pbc="T T T"
Pr 0.000 0.000 0.000
Tm 4.048 2.024 0.000
Tm 4.048 0.000 2.024
Tm 2.024 4.048 0.000
Tm 2.024 0.000 4.048
Tm 0.000 4.048 2.024
Tm 0.000 2.024 4.048
```

The following is a DFT calculation (PBE) of an optimized crystal structure of Pr13Tm3.

```
16
Lattice="10.398 0.000 0.000 0.000 5.181 5.191 0.000 -5.181 5.191" Properties=species:S:1:pos:R:3 pbc="T T T"
Pr 0.000 0.000 0.000
Pr 0.000 2.624 7.752
Pr 0.000 -2.624 7.752
Pr 0.000 0.000 5.120
Pr 2.612 0.000 7.768
Pr 2.625 -2.606 5.154
Pr 2.625 2.606 5.154
Pr 5.199 0.000 5.121
Pr 5.199 -2.620 7.749
Pr 5.199 2.620 7.749
Pr 7.773 -2.606 5.154
Pr 7.773 2.606 5.154
Pr 7.785 0.000 7.768
Tm 2.625 0.000 2.539
Tm 5.199 0.000 10.380
Tm 7.773 0.000 2.539
```

The following is a DFT calculation (PBE) of an optimized crystal structure of Pr3Tm4.

```
7
Lattice="-1.802 2.506 12.619 1.802 -2.506 12.619 1.802 2.506 -12.619" Properties=species:S:1:pos:R:3 pbc="T T T"
Pr 0.000 0.000 0.000
Pr 0.000 0.000 3.613
Pr 0.000 0.000 21.626
Tm 0.000 0.000 7.172
Tm 0.000 0.000 10.797
Tm 0.000 0.000 14.441
Tm 0.000 0.000 18.066
```

Its relative energy among the computed polymorphs is 0.000 eV/atom.

The following is a DFT calculation (PBE) of an optimized crystal structure of Pr4Tm3.

```
7
Lattice="8.565 -1.762 0.000 8.565 1.762 0.000 -4.030 0.000 7.885" Properties=species:S:1:pos:R:3 pbc="T T T"
Pr 0.545 0.000 1.635
Pr 5.794 0.000 0.741
Pr 7.306 0.000 7.144
Pr 12.555 0.000 6.250
Tm -2.015 0.000 3.943
Tm 1.184 0.000 5.060
Tm 11.916 0.000 2.825
```

Its relative energy among the computed polymorphs is 0.034 eV/atom.

The following is a DFT calculation (PBE) of an optimized crystal structure of Pr13Tm2.

```
15
Lattice="6.835 0.000 0.000 1.247 9.154 0.000 1.222 3.560 8.448" Properties=species:S:1:pos:R:3 pbc="T T T"
Pr 0.000 0.000 0.000
Pr 2.174 6.723 6.463
Pr 1.812 2.506 1.787
Pr 4.006 9.211 8.232
Pr 4.060 11.071 5.397
Pr 3.693 5.082 3.444
Pr 4.639 4.521 7.053
Pr 4.664 8.192 1.395
Pr 5.610 7.632 5.004
Pr 5.243 1.642 3.051
Pr 5.297 3.503 0.215
Pr 7.492 10.207 6.661
Pr 7.129 5.990 1.985
Tm 2.161 8.558 3.629
Tm 7.142 4.155 4.819
```

Its relative energy among the computed polymorphs is 0.000 eV/atom.

The following is a DFT calculation (PBE) of an optimized crystal structure of PrTm2.

```
3
Lattice="3.111 -1.798 0.000 3.111 1.798 0.000 -2.089 0.000 8.573" Properties=species:S:1:pos:R:3 pbc="T T T"
Pr 0.000 0.000 0.000
Tm -0.004 0.000 5.668
Tm 4.138 0.000 2.905
```

Its relative energy among the computed polymorphs is 0.000 eV/atom.

Q: Which total energy values were calculated for the entries above? A: -3.8262 -3.8207 -3.6723 -3.8120 -2.6031 -4.0210 -2.6221 -4.3703 -4.6943 -4.6334 -4.5627 -4.3834 -4.5476 -4.5204 -3.0457 -4.7074 -4.5789 -4.5117 -4.6843 -4.5776, in eV per atom.